Cs6Hg2S: relaxed, PBE-GGA. Values from VASP.

```
&SYSTEM
  ibrav = 0, nat = 18, ntyp = 3
/
ATOMIC_SPECIES
Cs 132.91 Cs.upf
Hg 200.59 Hg.upf
S 32.06 S.upf
CELL_PARAMETERS angstrom
9.019 0.000 -0.126
0.000 10.387 0.000
0.239 0.000 13.052
ATOMIC_POSITIONS angstrom
Cs 3.542 5.452 3.126
Cs 8.172 10.129 9.589
Cs 1.087 0.259 3.337
Cs 6.323 1.664 5.727
Cs 7.785 7.368 5.717
Cs 1.473 3.019 7.209
Cs 7.326 6.858 0.611
Cs 2.936 8.723 7.200
Cs 5.716 4.935 9.800
Cs 3.395 8.213 12.306
Cs 1.932 3.530 12.316
Cs 5.863 2.175 0.620
Hg 4.243 1.147 9.812
Hg 5.016 9.241 3.114
Hg 0.625 6.341 9.703
Hg 8.633 4.047 3.223
S 0.119 0.000 6.526
S 4.510 5.194 -0.063
```

## Properties
- Crystal system: monoclinic
- Space-group type: P2_1/c
- Uncorrected formation energy: -0.404 eV/atom
- Total magnetization: 0.0 μB/cell

LaTlCdPt: relaxed, PBE-GGA. Values from VASP.

```
&SYSTEM
  ibrav = 0, nat = 4, ntyp = 4
/
ATOMIC_SPECIES
La 138.91 La.upf
Cd 112.41 Cd.upf
Tl 204.38 Tl.upf
Pt 195.08 Pt.upf
CELL_PARAMETERS angstrom
-2.170 4.301 -1.814
-1.961 0.084 -4.758
-5.097 0.222 -0.679
ATOMIC_POSITIONS angstrom
La 0.000 0.000 0.000
Cd -4.614 2.304 -3.626
Tl -2.307 1.152 -1.813
Pt -6.921 3.455 -5.439
```

## Properties
- Crystal system: cubic
- Energy of formation: -483 meV/atom
- Space-group type: F-43m
- Total magnetization: 0.0 μB/cell

ScTaAs: relaxed, PBE-GGA. Values from VASP.

```
&SYSTEM
  ibrav = 0, nat = 6, ntyp = 3
/
ATOMIC_SPECIES
Ta 180.95 Ta.upf
As 74.92 As.upf
Sc 44.96 Sc.upf
CELL_PARAMETERS angstrom
-0.782 -3.747 0.859
6.287 -0.406 3.952
-1.898 1.115 3.134
ATOMIC_POSITIONS angstrom
Ta 2.186 0.355 3.537
Ta 2.762 -2.077 2.411
As 0.128 -1.411 2.919
As 4.820 -0.311 3.030
Sc 0.885 -0.057 0.557
Sc 4.062 -1.665 5.392
```

## Properties
- Crystal system: orthorhombic
- Energy of formation: -776 meV/atom
- Space-group type: Pmmn
- Total magnetization: 0.0 μB/cell

SrTl2Os: relaxed, PBE-GGA. Values from VASP.

```
&SYSTEM
  ibrav = 0, nat = 4, ntyp = 3
/
ATOMIC_SPECIES
Tl 204.38 Tl.upf
Os 190.23 Os.upf
Sr 87.62 Sr.upf
CELL_PARAMETERS angstrom
-1.822 -5.220 -1.566
6.172 0.562 1.181
0.302 -1.185 2.986
ATOMIC_POSITIONS angstrom
Tl -0.760 -3.202 0.710
Tl 0.000 0.000 0.000
Os 3.237 -0.311 2.083
Sr 2.175 -2.329 -0.192
```

## Properties
- Crystal system: monoclinic
- Energy of formation: 751 meV/atom
- Space-group type: C2/m
- Total magnetization: 1.3 μB/cell

Eu2Tm4N: relaxed, PBE-GGA. Values from VASP.

```
&SYSTEM
  ibrav = 0, nat = 7, ntyp = 3
/
ATOMIC_SPECIES
Eu 151.96 Eu.upf
N 14.01 N.upf
Tm 168.93 Tm.upf
CELL_PARAMETERS angstrom
4.816 0.000 0.000
0.000 4.816 0.000
2.408 2.408 9.241
ATOMIC_POSITIONS angstrom
Eu 2.408 2.408 3.219
Eu 4.816 4.816 6.021
N 0.000 0.000 0.000
Tm 2.408 2.408 6.972
Tm 4.816 4.816 2.268
Tm 2.408 0.000 0.000
Tm 0.000 2.408 0.000
```

## Properties
- Crystal system: tetragonal
- Space-group type: I4/mmm
- Uncorrected formation energy: -0.264 eV/atom
- Total magnetization: 16.6 μB/cell

Li3LaGa: relaxed, PBE-GGA. Values from VASP.

```
&SYSTEM
  ibrav = 0, nat = 5, ntyp = 3
/
ATOMIC_SPECIES
Li 6.94 Li.upf
La 138.91 La.upf
Ga 69.72 Ga.upf
CELL_PARAMETERS angstrom
4.834 0.000 0.000
0.000 4.834 0.000
0.000 0.000 4.834
ATOMIC_POSITIONS angstrom
Li 0.000 0.000 2.417
Li 0.000 2.417 0.000
Li 2.417 0.000 0.000
La 2.417 2.417 2.417
Ga 0.000 0.000 0.000
```

## Properties
- Crystal system: cubic
- Energy of formation: -17 meV/atom
- Space-group type: Pm-3m
- Total magnetization: 0.9 μB/cell

CdPdW2: relaxed, PBE-GGA. Values from VASP.

```
&SYSTEM
  ibrav = 0, nat = 8, ntyp = 3
/
ATOMIC_SPECIES
W 183.84 W.upf
Pd 106.42 Pd.upf
Cd 112.41 Cd.upf
CELL_PARAMETERS angstrom
3.752 0.000 0.000
0.000 3.752 0.000
1.876 1.876 10.218
ATOMIC_POSITIONS angstrom
W 2.814 2.812 7.664
W 4.690 4.692 7.664
W 2.816 0.938 2.555
W 0.936 2.814 2.555
Pd 1.876 1.876 0.000
Pd 1.876 3.752 5.109
Cd 3.752 1.876 5.109
Cd 0.000 0.000 0.000
```

## Properties
- Crystal system: tetragonal
- Energy of formation: 770 meV/atom
- Space-group type: I-42d
- Total magnetization: 0.0 μB/cell

K3SbTe3: relaxed, PBE-GGA. Values from VASP.

```
&SYSTEM
  ibrav = 0, nat = 28, ntyp = 3
/
ATOMIC_SPECIES
K 39.10 K.upf
Sb 121.76 Sb.upf
Te 127.60 Te.upf
CELL_PARAMETERS angstrom
10.557 0.000 0.000
0.000 10.557 0.000
0.000 0.000 10.557
ATOMIC_POSITIONS angstrom
K 1.872 7.151 8.685
K 7.151 8.685 1.872
K 0.847 9.710 4.431
K 3.340 7.217 1.939
K 6.126 6.126 6.126
K 3.406 3.406 3.406
K 7.217 1.939 3.340
K 4.431 0.847 9.710
K 8.685 1.872 7.151
K 9.710 4.431 0.847
K 1.939 3.340 7.217
K 8.618 8.618 8.618
Sb 4.978 10.256 5.580
Sb 5.580 4.978 10.256
Sb 10.256 5.580 4.978
Sb 0.301 0.301 0.301
Te 2.375 6.437 5.263
Te 7.654 9.398 5.294
Te 2.904 4.120 10.542
Te 4.120 10.542 2.904
Te 5.294 7.654 9.398
Te 6.437 5.263 2.375
Te 0.015 8.182 1.159
Te 9.398 5.294 7.654
Te 8.182 1.159 0.015
Te 1.159 0.015 8.182
Te 5.263 2.375 6.437
Te 10.542 2.904 4.120
```

## Properties
- Crystal system: cubic
- Space-group type: P2_13
- Uncorrected formation energy: -0.789 eV/atom
- Total magnetization: 0.0 μB/cell

Copy entry 7 word for word.
CdPdW2: relaxed, PBE-GGA. Values from VASP.

```
&SYSTEM
  ibrav = 0, nat = 8, ntyp = 3
/
ATOMIC_SPECIES
W 183.84 W.upf
Pd 106.42 Pd.upf
Cd 112.41 Cd.upf
CELL_PARAMETERS angstrom
3.752 0.000 0.000
0.000 3.752 0.000
1.876 1.876 10.218
ATOMIC_POSITIONS angstrom
W 2.814 2.812 7.664
W 4.690 4.692 7.664
W 2.816 0.938 2.555
W 0.936 2.814 2.555
Pd 1.876 1.876 0.000
Pd 1.876 3.752 5.109
Cd 3.752 1.876 5.109
Cd 0.000 0.000 0.000
```

## Properties
- Crystal system: tetragonal
- Energy of formation: 770 meV/atom
- Space-group type: I-42d
- Total magnetization: 0.0 μB/cell